8
Lattice="3.648 0.000 0.000 0.008 5.290 0.000 0.024 1.527 5.382" Properties=species:S:1:pos:R:3 comment="MgOsF2, optimized geometry, DFT GGA-PBE" crystal_system=triclinic sg="P-1 (2)" energy_ha_per_atom=-0.2070 magmom_total_mub_per_fu=0.0 pbc="T T T"
Mg 0.917 2.897 1.242
Mg 2.764 3.920 4.140
Os 0.924 1.175 3.291
Os 2.756 5.642 2.091
F 0.920 4.778 0.780
F 0.940 3.856 4.670
F 2.741 2.961 0.712
F 2.760 2.039 4.602

9
Lattice="0.000 4.043 4.043 4.043 0.000 4.043 4.043 4.043 0.000" Properties=species:S:1:pos:R:3 comment="Mg2PaF6, optimized geometry, DFT GGA-PBE" crystal_system=cubic sg="Fm-3m (225)" energy_ha_per_atom=-0.1900 magmom_total_mub_per_fu=0.9 pbc="T T T"
Mg 2.021 2.021 2.021
Mg 6.064 6.064 6.064
Pa 0.000 0.000 0.000
F 4.043 4.043 2.145
F 4.043 2.145 4.043
F 5.941 4.043 4.043
F 2.145 4.043 4.043
F 4.043 5.941 4.043
F 4.043 4.043 5.941

12
Lattice="-2.524 2.524 5.148 2.524 -2.524 5.148 2.524 2.524 -5.148" Properties=species:S:1:pos:R:3 comment="MgPdF4, optimized geometry, DFT GGA-PBE" crystal_system=tetragonal sg="I4/mcm (140)" energy_ha_per_atom=-0.1675 pbc="T T T"
Mg 0.000 0.000 2.574
Mg 0.000 0.000 7.722
Pd 2.524 0.000 0.000
Pd 0.000 2.524 0.000
F 3.466 0.943 -1.492
F 0.943 1.581 -1.492
F 3.466 0.943 1.492
F 0.943 1.581 1.492
F 1.581 0.943 3.656
F -0.943 1.581 3.656
F 1.581 0.943 6.640
F -0.943 1.581 6.640